#w
The following is a DFT calculation (PBE) of crystalline La2ZrMn at its relaxed geometry.

As for the calculated volume: 216.2 Å³/cell. The crystal system is orthorhombic.

Structure (CIF):
```
data_La2ZrMn
_space_group_name_H-M_alt 'I m m 2'
_space_group_IT_number 44
_cell_length_a 3.7362
_cell_length_b 5.4072
_cell_length_c 10.7030
_cell_angle_alpha 90.00
_cell_angle_beta 90.00
_cell_angle_gamma 90.00
loop_
_space_group_symop_operation_xyz
'x,y,z'
'-x,-y,z'
'-x,y,z'
'x,-y,z'
'x+1/2,y+1/2,z+1/2'
'-x+1/2,-y+1/2,z+1/2'
'-x+1/2,y+1/2,z+1/2'
'x+1/2,-y+1/2,z+1/2'
loop_
_atom_site_label
_atom_site_fract_x
_atom_site_fract_y
_atom_site_fract_z
La1 0.0000 0.0000 0.0000
La2 0.0000 0.5000 0.2173
Zr1 0.0000 0.0000 0.4263
Mn1 0.0000 0.5000 0.7493
```

=====

#x
The following is a DFT calculation (PBE) of crystalline La2ZrMn at its relaxed geometry.

As for the calculated volume: 436.5 Å³/cell. The crystal system is tetragonal.

Structure (CIF):
```
data_La2ZrMn
_space_group_name_H-M_alt 'I -4 2 d'
_space_group_IT_number 122
_space_group_name_Hall 'I -4 2bw'
_cell_length_a 8.4457
_cell_length_b 8.4457
_cell_length_c 6.1191
_cell_angle_alpha 90.00
_cell_angle_beta 90.00
_cell_angle_gamma 90.00
loop_
_atom_site_label
_atom_site_fract_x
_atom_site_fract_y
_atom_site_fract_z
La1 0.2027 0.2500 0.1250
Zr1 0.0000 0.0000 0.5000
Mn1 0.0000 0.0000 0.0000
```

=====

#y
The following is a DFT calculation (PBE) of crystalline La2ZrMn at its relaxed geometry.

As for the calculated volume: 323.4 Å³/cell. The crystal system is trigonal.

Structure (CIF):
```
data_La2ZrMn
_space_group_name_H-M_alt 'R -3 m'
_space_group_IT_number 166
_space_group_name_Hall '-R 3 2"'
_cell_length_a 3.4804
_cell_length_b 3.4804
_cell_length_c 30.8299
_cell_angle_alpha 90.00
_cell_angle_beta 90.00
_cell_angle_gamma 120.00
loop_
_atom_site_label
_atom_site_fract_x
_atom_site_fract_y
_atom_site_fract_z
La1 0.0000 0.0000 0.2438
Zr1 0.0000 0.0000 0.0000
Mn1 0.0000 0.0000 0.5000
```

=====

Preferred: #w; penalty for the next structure: 14.1 kJ/mol of atoms.